The following is a DFT calculation (PBE) of crystalline CuN at its relaxed geometry.

As for the space group: No. 217. Its energy relative to the elements, uncorrected is 1075 meV per atom. The relative energy among the computed polymorphs is 0.698 eV per atom.

Cell: 5.2057 5.2057 5.2057 Å, 109.47 109.47 109.47°
Atoms (fractional coordinates):
Cu: 0.0000 0.0000 0.3337
Cu: 0.0000 0.3337 0.0000
Cu: 0.3337 0.0000 0.0000
Cu: 0.6663 0.6663 0.6663
N: 0.0000 0.0000 0.6795
N: 0.0000 0.6795 0.0000
N: 0.3205 0.3205 0.3205
N: 0.6795 0.0000 0.0000

***

The following is a DFT calculation (PBE) of crystalline SrMnAu2 at its relaxed geometry.

As for the space group: No. 99. The calculation puts the calculated total energy at -0.166 Ha/atom.

Cell: 3.7485 3.7485 6.7049 Å, 90.00 90.00 90.00°
Atoms (fractional coordinates):
Sr: 0.0000 0.0000 0.0000
Mn: 0.5000 0.5000 0.6370
Au: 0.0000 0.0000 0.5259
Au: 0.5000 0.5000 0.2459

***

The following is a DFT calculation (PBE) of crystalline Ag2PO6 at its relaxed geometry.

As for the space group: No. 136. Its energy relative to the elements, uncorrected is -482 meV per atom.

Cell: 4.7826 4.7826 9.1548 Å, 90.00 90.00 90.00°
Atoms (fractional coordinates):
Ag: 0.0000 0.0000 0.1680
Ag: 0.0000 0.0000 0.8320
Ag: 0.5000 0.5000 0.3320
Ag: 0.5000 0.5000 0.6680
P: 0.0000 0.0000 0.5000
P: 0.5000 0.5000 0.0000
O: 0.1684 0.1684 0.3654
O: 0.1684 0.1684 0.6346
O: 0.2395 0.2395 0.0000
O: 0.2605 0.7395 0.5000
O: 0.3316 0.6684 0.1346
O: 0.3316 0.6684 0.8654
O: 0.6684 0.3316 0.1346
O: 0.6684 0.3316 0.8654
O: 0.7395 0.2605 0.5000
O: 0.7605 0.7605 0.0000
O: 0.8316 0.8316 0.3654
O: 0.8316 0.8316 0.6346

***

The following is a DFT calculation (PBE) of crystalline Rb5Ga4Bi2 at its relaxed geometry.

As for the space group: No. 12. The calculation puts the calculated total energy at -0.083 Ha/atom.

Cell: 7.4265 7.4265 9.6360 Å, 103.20 103.20 60.44°
Atoms (fractional coordinates):
Rb: 0.0000 0.0000 0.0000
Rb: 0.1591 0.6423 0.6332
Rb: 0.3577 0.8409 0.3668
Rb: 0.6423 0.1591 0.6332
Rb: 0.8409 0.3577 0.3668
Ga: 0.2931 0.2931 0.0050
Ga: 0.3254 0.3254 0.2739
Ga: 0.6746 0.6746 0.7261
Ga: 0.7069 0.7069 0.9950
Bi: 0.1688 0.1688 0.7294
Bi: 0.8312 0.8312 0.2706

***

The following is a DFT calculation (PBE) of crystalline La2SmAuN at its relaxed geometry.

As for the space group: No. 123. Its energy relative to the elements, uncorrected is -814 meV per atom.

Cell: 5.0693 5.0693 4.8806 Å, 90.00 90.00 90.00°
Atoms (fractional coordinates):
La: 0.0000 0.5000 0.0000
La: 0.5000 0.0000 0.0000
Sm: 0.0000 0.0000 0.5000
Au: 0.5000 0.5000 0.5000
N: 0.0000 0.0000 0.0000

***

The following is a DFT calculation (PBE) of crystalline Cs2KTl3Cl6 at its relaxed geometry.

As for the space group: No. 12. Its energy relative to the elements, uncorrected is -1481 meV per atom.

Cell: 10.5839 10.5839 9.4451 Å, 101.97 101.97 25.80°
Atoms (fractional coordinates):
Cs: 0.1667 0.1667 0.3242
Cs: 0.8333 0.8333 0.6758
K: 0.5000 0.5000 0.0000
Tl: 0.1603 0.1603 0.8310
Tl: 0.5000 0.5000 0.5000
Tl: 0.8397 0.8397 0.1690
Cl: 0.0053 0.0053 0.7591
Cl: 0.3399 0.3399 0.4120
Cl: 0.3429 0.3429 0.9427
Cl: 0.6571 0.6571 0.0573
Cl: 0.6601 0.6601 0.5880
Cl: 0.9947 0.9947 0.2409